GGA-PBE La3TbPm2Ho6, optimized geometry; total moment = 0.000 μB/atom; N(E_F) = 14.65 states/eV/cell; raw total energy = -0.17207 Ha/atom; E_form = 0.2 eV/f.u.
1.0
-3.298 4.323 3.101
-2.478 -2.837 -5.000
-2.479 -8.795 7.523
Tb Ho La Pm
1 6 3 2
direct
0.000 0.000 0.000 Tb
0.082 0.415 0.247 Ho
0.415 0.082 0.247 Ho
0.251 0.251 0.753 Ho
0.918 0.585 0.753 Ho
0.585 0.918 0.753 Ho
0.749 0.749 0.247 Ho
0.833 0.167 0.500 La
0.167 0.833 0.500 La
0.500 0.500 0.500 La
0.667 0.333 0.000 Pm
0.333 0.667 0.000 Pm